(1)
The following is a PBE-GGA calculation of Ca3MoRh after structural relaxation, from Alexandria.

The structure belongs to space group Pm-3m (No. 221); the cell edges are 5.4105, 5.4105 and 5.4105 Å and the angles 90.00°, 90.00° and 90.00°. Symmetry generates all atoms from Ca at (0.0000, 0.0000, 0.5000), Mo at (0.5000, 0.5000, 0.5000) and Rh at (0.0000, 0.0000, 0.0000).

The value obtained for the total moment is 4.444 Bohr magnetons per cell. The calculation puts the theoretical density at 3.35 Mg/m³.


(2)
The following is a PBE-GGA calculation of Ca3MoRh after structural relaxation, from Alexandria.

The structure belongs to space group Pm-3m (No. 221); the cell edges are 5.2175, 5.2175 and 5.2175 Å and the angles 90.00°, 90.00° and 90.00°. Symmetry generates all atoms from Ca at (0.0000, 0.0000, 0.5000), Mo at (0.0000, 0.0000, 0.0000) and Rh at (0.5000, 0.5000, 0.5000).

The value obtained for the total moment is 0.718 Bohr magnetons per cell. The calculation puts the theoretical density at 3.73 Mg/m³.


Which structure is the least stable? The one labeled (2).